{
  "formula": "LaMo3Ir",
  "functional": "PBE-GGA",
  "state": "relaxed",
  "lattice_angstrom": [[-0.5401, 2.7549, 3.9664], [-3.4388, -3.0216, 1.6304], [3.3906, -2.6257, 2.2853]],
  "species": ["Mo", "Mo", "Mo", "Ir", "La"],
  "fractional_positions": [[0.0000, 0.5000, 0.0000], [0.0000, 0.0000, 0.5000], [0.5000, 0.0000, 0.0000], [0.0000, 0.0000, 0.0000], [0.5000, 0.5000, 0.5000]],
  "magmom_total_mub_per_fu": 2.08,
  "final_energy_ev_per_cell": -41.23,
  "de_polymorph_mev_per_atom": 0.0,
  "e_form_ev_per_atom": 1.0094
}